# PBE-GGA ZrAg2Ru2, optimized geometry
# Symmetry   No. 127
# Formation enthalpy at 0 K   0.362 eV per atom
data_ZrAg2Ru2
_symmetry_space_group_name_H-M 'P 1'
_symmetry_Int_Tables_number 1
_symmetry_space_group_name_Hall 'P 1'
_cell_length_a 6.6576
_cell_length_b 6.6576
_cell_length_c 4.0835
_cell_angle_alpha 90.00
_cell_angle_beta 90.00
_cell_angle_gamma 90.00
loop_
_atom_site_label
_atom_site_type_symbol
_atom_site_fract_x
_atom_site_fract_y
_atom_site_fract_z
_atom_site_occupancy
Zr1 Zr 0.0000 0.0000 0.0000 1
Zr2 Zr 0.5000 0.5000 0.0000 1
Ag1 Ag 0.1661 0.3339 0.5000 1
Ag2 Ag 0.3339 0.8339 0.5000 1
Ag3 Ag 0.6661 0.1661 0.5000 1
Ag4 Ag 0.8339 0.6661 0.5000 1
Ru1 Ru 0.1315 0.6315 0.0000 1
Ru2 Ru 0.3685 0.1315 0.0000 1
Ru3 Ru 0.6315 0.8685 0.0000 1
Ru4 Ru 0.8685 0.3685 0.0000 1